No. 1
Crystalline SmCd11Cu at its relaxed geometry, computed with PBE.

Results
* calculated total energy: -40.24 eV for the cell shown
* energy of formation: -1.24 eV per formula unit
* DOS at the Fermi energy: 5.71 states/eV/f.u.

abc: 5.833 14.052 7.558
angles: 90.00 112.09 90.00
Space group C2/m (No. 12)
Unique sites:
Sm (0.000, 0.000, 0.000) [2 per cell]
Cd (0.000, 0.000, 0.500) [2 per cell]
Cd (0.095, 0.396, 0.218) [8 per cell]
Cd (0.189, 0.171, 0.357) [8 per cell]
Cd (0.250, 0.250, 0.000) [4 per cell]
Cu (0.000, 0.500, 0.500) [2 per cell]



No. 2
Crystalline Sm6CdCu2 at its relaxed geometry, computed with PBE.

Results
* calculated total energy: -154.64 eV for the cell shown
* energy of formation: -1.24 eV per formula unit
* DOS at the Fermi energy: 9.65 states/eV/f.u.

abc: 9.558 10.040 10.490
angles: 90.00 90.00 90.00
Space group Immm (No. 71)
Unique sites:
Sm (0.000, 0.194, 0.241) [8 per cell]
Sm (0.194, 0.500, 0.179) [8 per cell]
Sm (0.217, 0.317, 0.500) [8 per cell]
Cd (0.000, 0.000, 0.000) [2 per cell]
Cd (0.000, 0.000, 0.500) [2 per cell]
Cu (0.000, 0.349, 0.000) [4 per cell]
Cu (0.000, 0.500, 0.382) [4 per cell]



No. 3
Crystalline Sm2CdCu at its relaxed geometry, computed with PBE.

Results
* calculated total energy: -15.40 eV for the cell shown
* energy of formation: -0.95 eV per formula unit
* DOS at the Fermi energy: 4.55 states/eV/f.u.

abc: 3.621 3.621 7.622
angles: 90.00 90.00 90.00
Space group P4/mmm (No. 123)
Unique sites:
Sm (0.000, 0.000, 0.225) [2 per cell]
Cd (0.500, 0.500, 0.500) [1 per cell]
Cu (0.500, 0.500, 0.000) [1 per cell]



No. 4
Crystalline SmCd2Cu at its relaxed geometry, computed with PBE.

Results
* calculated total energy: -44.45 eV for the cell shown
* energy of formation: -0.47 eV per formula unit
* DOS at the Fermi energy: 3.07 states/eV/f.u.

abc: 7.033 7.033 7.033
angles: 90.00 90.00 90.00
Space group Fm-3m (No. 225)
Unique sites:
Sm (0.000, 0.000, 0.000) [4 per cell]
Cd (0.250, 0.250, 0.250) [8 per cell]
Cu (0.000, 0.000, 0.500) [4 per cell]



No. 5
Crystalline Sm4CdCu2 at its relaxed geometry, computed with PBE.

Results
* calculated total energy: -84.08 eV for the cell shown
* energy of formation: -0.04 eV per formula unit
* DOS at the Fermi energy: 9.32 states/eV/f.u.

abc: 4.9985 4.9985 26.8021
angles: 90.00 90.00 120.00
Space group R-3m (No. 166, hexagonal axes)
Unique sites:
Sm (0.0000, 0.0000, 0.1171) [6 per cell]
Sm (0.0000, 0.0000, 0.2944) [6 per cell]
Cd (0.0000, 0.0000, 0.5000) [3 per cell]
Cu (0.0000, 0.0000, 0.4014) [6 per cell]



No. 6
Crystalline Sm3Cd4Cu2 at its relaxed geometry, computed with PBE.

Results
* calculated total energy: -56.38 eV for the cell shown
* energy of formation: -2.18 eV per formula unit
* DOS at the Fermi energy: 6.47 states/eV/f.u.

abc: 11.147 4.798 8.972
angles: 90.00 118.70 90.00
Space group C2/m (No. 12)
Unique sites:
Sm (0.000, 0.000, 0.000) [2 per cell]
Sm (0.178, 0.500, 0.646) [4 per cell]
Cd (0.034, 0.000, 0.365) [4 per cell]
Cd (0.214, 0.500, 0.058) [4 per cell]
Cu (0.090, 0.500, 0.261) [4 per cell]



No. 7
Crystalline Sm6Cd5Cu at its relaxed geometry, computed with PBE.

Results
* calculated total energy: -80.64 eV for the cell shown
* energy of formation: -3.33 eV per formula unit
* DOS at the Fermi energy: 14.45 states/eV/f.u.

abc: 16.768 7.645 5.307
angles: 90.00 108.40 90.00
Space group C2/m (No. 12)
Unique sites:
Sm (0.000, 0.234, 0.000) [4 per cell]
Sm (0.160, 0.240, 0.660) [8 per cell]
Cd (0.000, 0.500, 0.500) [2 per cell]
Cd (0.167, 0.500, 0.167) [4 per cell]
Cd (0.177, 0.000, 0.177) [4 per cell]
Cu (0.000, 0.000, 0.500) [2 per cell]



No. 8
Crystalline SmCd5Cu at its relaxed geometry, computed with PBE.

Results
* calculated total energy: -14.46 eV for the cell shown
* energy of formation: -1.07 eV per formula unit
* DOS at the Fermi energy: 4.91 states/eV/f.u.

abc: 4.668 4.668 7.466
angles: 90.00 90.00 90.00
Space group P4/mmm (No. 123)
Unique sites:
Sm (0.000, 0.000, 0.000) [1 per cell]
Cd (0.000, 0.500, 0.301) [4 per cell]
Cd (0.500, 0.500, 0.000) [1 per cell]
Cu (0.000, 0.000, 0.500) [1 per cell]



No. 9
Crystalline Sm7Cd2Cu2 at its relaxed geometry, computed with PBE.

Results
* calculated total energy: -85.98 eV for the cell shown
* energy of formation: 0.07 eV per formula unit
* DOS at the Fermi energy: 13.90 states/eV/f.u.

abc: 8.010 11.339 7.261
angles: 90.00 90.00 90.00
Space group Cmmm (No. 65)
Unique sites:
Sm (0.000, 0.000, 0.000) [2 per cell]
Sm (0.000, 0.500, 0.244) [4 per cell]
Sm (0.250, 0.250, 0.258) [8 per cell]
Cd (0.172, 0.000, 0.500) [4 per cell]
Cu (0.000, 0.298, 0.000) [4 per cell]



No. 10
Crystalline SmCd2Cu at its relaxed geometry, computed with PBE.

Results
* calculated total energy: -11.06 eV for the cell shown
* energy of formation: -0.42 eV per formula unit
* DOS at the Fermi energy: 3.02 states/eV/f.u.

abc: 3.356 3.356 7.682
angles: 90.00 90.00 90.00
Space group P4/mmm (No. 123)
Unique sites:
Sm (0.000, 0.000, 0.000) [1 per cell]
Cd (0.500, 0.500, 0.302) [2 per cell]
Cu (0.000, 0.000, 0.500) [1 per cell]



No. 11
Crystalline Sm4Cd5Cu2 at its relaxed geometry, computed with PBE.

Results
* calculated total energy: -34.47 eV for the cell shown
* energy of formation: -2.82 eV per formula unit
* DOS at the Fermi energy: 9.32 states/eV/f.u.

abc: 7.681 3.690 9.739
angles: 90.00 94.02 90.00
Space group P2/m (No. 10)
Unique sites:
Sm (0.167, 0.000, 0.358) [2 per cell]
Sm (0.236, 0.000, 0.943) [2 per cell]
Cd (0.185, 0.500, 0.654) [2 per cell]
Cd (0.443, 0.500, 0.188) [2 per cell]
Cd (0.500, 0.500, 0.500) [1 per cell]
Cu (0.060, 0.500, 0.128) [2 per cell]



No. 12
Crystalline SmCdCuSn at its relaxed geometry, computed with PBE.

Results
* calculated total energy: -58.35 eV for the cell shown
* energy of formation: -0.85 eV per formula unit
* DOS at the Fermi energy: 1.92 states/eV/f.u.

abc: 7.091 7.091 7.091
angles: 90.00 90.00 90.00
Space group F-43m (No. 216)
Unique sites:
Sm (0.000, 0.000, 0.000) [4 per cell]
Cd (0.250, 0.250, 0.750) [4 per cell]
Cu (0.250, 0.250, 0.250) [4 per cell]
Sn (0.000, 0.000, 0.500) [4 per cell]



No. 13
Crystalline SmTmCdCu at its relaxed geometry, computed with PBE.

Results
* calculated total energy: -60.28 eV for the cell shown
* energy of formation: -0.87 eV per formula unit
* DOS at the Fermi energy: 2.58 states/eV/f.u.

abc: 7.268 7.268 7.268
angles: 90.00 90.00 90.00
Space group F-43m (No. 216)
Unique sites:
Sm (0.000, 0.000, 0.000) [4 per cell]
Tm (0.000, 0.000, 0.500) [4 per cell]
Cd (0.250, 0.250, 0.250) [4 per cell]
Cu (0.250, 0.250, 0.750) [4 per cell]



No. 14
Crystalline SmTmCdCu at its relaxed geometry, computed with PBE.

Results
* calculated total energy: -15.26 eV for the cell shown
* energy of formation: -1.05 eV per formula unit
* DOS at the Fermi energy: 4.15 states/eV/f.u.

abc: 3.503 3.503 7.750
angles: 90.00 90.00 90.00
Space group P4mm (No. 99)
Unique sites:
Sm (0.000, 0.000, 0.000) [1 per cell]
Tm (0.000, 0.000, 0.557) [1 per cell]
Cd (0.500, 0.500, 0.289) [1 per cell]
Cu (0.500, 0.500, 0.757) [1 per cell]



No. 15
Crystalline SmYCdCu at its relaxed geometry, computed with PBE.

Results
* calculated total energy: -68.30 eV for the cell shown
* energy of formation: -0.88 eV per formula unit
* DOS at the Fermi energy: 2.88 states/eV/f.u.

abc: 7.327 7.327 7.327
angles: 90.00 90.00 90.00
Space group F-43m (No. 216)
Unique sites:
Sm (0.000, 0.000, 0.000) [4 per cell]
Y (0.000, 0.000, 0.500) [4 per cell]
Cd (0.250, 0.250, 0.250) [4 per cell]
Cu (0.250, 0.250, 0.750) [4 per cell]



No. 16
Crystalline Sm4Zn2CdCu at its relaxed geometry, computed with PBE.

Results
* calculated total energy: -85.85 eV for the cell shown
* energy of formation: -2.18 eV per formula unit
* DOS at the Fermi energy: 7.94 states/eV/f.u.

abc: 5.1869 5.1869 25.3409
angles: 90.00 90.00 120.00
Space group R-3m (No. 166, hexagonal axes)
Unique sites:
Sm (0.0000, 0.0000, 0.1189) [6 per cell]
Sm (0.0000, 0.0000, 0.3697) [6 per cell]
Zn (0.0000, 0.0000, 0.2447) [6 per cell]
Cd (0.0000, 0.0000, 0.5000) [3 per cell]
Cu (0.0000, 0.0000, 0.0000) [3 per cell]



No. 17
Crystalline Cd3Cu5Sn12 at its relaxed geometry, computed with PBE.

Results
* calculated total energy: -545.47 eV for the cell shown
* energy of formation: 3.08 eV per formula unit
* DOS at the Fermi energy: 5.58 states/eV/f.u.

abc: 16.098 16.098 16.098
angles: 90.00 90.00 90.00
Space group Ia-3d (No. 230)
Unique sites:
Cd (0.000, 0.250, 0.125) [24 per cell]
Cu (0.000, 0.000, 0.000) [16 per cell]
Cu (0.000, 0.250, 0.375) [24 per cell]
Sn (0.031, 0.070, 0.643) [96 per cell]



No. 18
Crystalline CdCu2Sn2 at its relaxed geometry, computed with PBE.

Results
* calculated total energy: -32.19 eV for the cell shown
* energy of formation: 1.02 eV per formula unit
* DOS at the Fermi energy: 2.78 states/eV/f.u.

abc: 8.360 8.360 2.937
angles: 90.00 90.00 90.00
Space group P4/mbm (No. 127)
Unique sites:
Cd (0.000, 0.000, 0.000) [2 per cell]
Cu (0.155, 0.345, 0.500) [4 per cell]
Sn (0.140, 0.640, 0.000) [4 per cell]



No. 19
Crystalline Cd2CuSn at its relaxed geometry, computed with PBE.

Results
* calculated total energy: -9.58 eV for the cell shown
* energy of formation: 0.35 eV per formula unit
* DOS at the Fermi energy: 1.68 states/eV/f.u.

abc: 3.112 3.112 8.750
angles: 90.00 90.00 90.00
Space group P4/mmm (No. 123)
Unique sites:
Cd (0.000, 0.000, 0.197) [2 per cell]
Cu (0.500, 0.500, 0.000) [1 per cell]
Sn (0.500, 0.500, 0.500) [1 per cell]



No. 20
Crystalline CdCu2Sn2 at its relaxed geometry, computed with PBE.

Results
* calculated total energy: -31.78 eV for the cell shown
* energy of formation: 1.22 eV per formula unit
* DOS at the Fermi energy: 2.73 states/eV/f.u.

abc: 4.318 4.318 11.627
angles: 90.00 90.00 90.00
Space group I4/mmm (No. 139)
Unique sites:
Cd (0.000, 0.000, 0.000) [2 per cell]
Cu (0.000, 0.000, 0.397) [4 per cell]
Sn (0.000, 0.500, 0.250) [4 per cell]



No. 21
Crystalline Cd3CuSn at its relaxed geometry, computed with PBE.

Results
* calculated total energy: -9.65 eV for the cell shown
* energy of formation: 1.19 eV per formula unit
* DOS at the Fermi energy: 1.77 states/eV/f.u.

abc: 5.007 5.007 5.007
angles: 90.00 90.00 90.00
Space group Pm-3m (No. 221)
Unique sites:
Cd (0.000, 0.000, 0.500) [3 per cell]
Cu (0.000, 0.000, 0.000) [1 per cell]
Sn (0.500, 0.500, 0.500) [1 per cell]



No. 22
Crystalline CdCuSn3 at its relaxed geometry, computed with PBE.

Results
* calculated total energy: -15.74 eV for the cell shown
* energy of formation: 1.28 eV per formula unit
* DOS at the Fermi energy: 3.67 states/eV/f.u.

abc: 5.145 5.145 5.145
angles: 90.00 90.00 90.00
Space group Pm-3m (No. 221)
Unique sites:
Cd (0.000, 0.000, 0.000) [1 per cell]
Cu (0.500, 0.500, 0.500) [1 per cell]
Sn (0.000, 0.500, 0.500) [3 per cell]